Entry 1:
A relaxed structure of MnZn2Pt. Source: Alexandria via LeMat-Bulk, functional GGA-PBEsol.

```
data_MnZn2Pt
_chemical_formula_sum 'Mn1 Zn2 Pt1'
_space_group_name_H-M_alt 'P 1'
_space_group_IT_number 1
_space_group_name_Hall 'P 1'
_cell_length_a 2.807
_cell_length_b 4.571
_cell_length_c 4.616
_cell_angle_alpha 99.88
_cell_angle_beta 90.00
_cell_angle_gamma 107.88
loop_
_atom_site_label
_atom_site_fract_x
_atom_site_fract_y
_atom_site_fract_z
_atom_site_occupancy
Zn1 0.249 0.498 0.251 1
Zn2 0.751 0.502 0.749 1
Pt1 0.500 0.000 0.000 1
Mn1 0.000 0.000 0.500 1
```

Computed properties:
The total energy is -5.164 eV/atom. The symmetry is C2/m (12). For the magnetization, the calculation gives 3.70 μB per formula unit. The density of states at the Fermi level is 1.959 states/eV/cell.

=====

Entry 2:
A relaxed structure of Dy5Co19P12. Source: Alexandria via LeMat-Bulk, functional GGA-PBEsol.

```
data_Dy5Co19P12
_chemical_formula_sum 'Dy5 Co19 P12'
_space_group_name_H-M_alt 'P 1'
_space_group_IT_number 1
_space_group_name_Hall 'P 1'
_cell_length_a 3.619
_cell_length_b 11.835
_cell_length_c 11.835
_cell_angle_alpha 120.00
_cell_angle_beta 90.00
_cell_angle_gamma 90.00
loop_
_atom_site_label
_atom_site_fract_x
_atom_site_fract_y
_atom_site_fract_z
_atom_site_occupancy
Co1 0.000 0.378 0.178 1
Co2 0.500 0.358 0.484 1
Co3 0.000 0.000 0.447 1
Co4 0.000 0.822 0.199 1
Co5 0.000 0.000 0.000 1
Co6 0.500 0.125 0.642 1
Co7 0.500 0.875 0.516 1
Co8 0.000 0.622 0.801 1
Co9 0.000 0.447 0.000 1
Co10 0.000 0.199 0.822 1
Co11 0.500 0.715 0.715 1
Co12 0.500 0.285 0.000 1
Co13 0.500 0.000 0.285 1
Co14 0.500 0.516 0.875 1
Co15 0.000 0.178 0.378 1
Co16 0.500 0.642 0.125 1
Co17 0.000 0.801 0.622 1
Co18 0.000 0.553 0.553 1
Co19 0.500 0.484 0.358 1
Dy1 0.000 0.333 0.667 1
Dy2 0.500 0.813 0.000 1
Dy3 0.500 0.187 0.187 1
Dy4 0.500 0.000 0.813 1
Dy5 0.000 0.667 0.333 1
P1 0.000 0.000 0.181 1
P2 0.500 0.315 0.835 1
P3 0.500 0.480 0.165 1
P4 0.500 0.835 0.315 1
P5 0.000 0.181 0.000 1
P6 0.000 0.819 0.819 1
P7 0.500 0.520 0.685 1
P8 0.500 0.165 0.480 1
P9 0.000 0.369 0.369 1
P10 0.000 0.631 0.000 1
P11 0.500 0.685 0.520 1
P12 0.000 0.000 0.631 1
```

Computed properties:
The total energy is -7.691 eV/atom. The symmetry is P-62m (189). For the magnetization, the calculation gives 6.58 μB per formula unit. The density of states at the Fermi level is 19.996 states/eV/cell.

=====

Entry 3:
A relaxed structure of KCrTc2. Source: Alexandria via LeMat-Bulk, functional GGA-PBEsol.

```
data_KCrTc2
_chemical_formula_sum 'K1 Cr1 Tc2'
_space_group_name_H-M_alt 'P 1'
_space_group_IT_number 1
_space_group_name_Hall 'P 1'
_cell_length_a 2.511
_cell_length_b 5.017
_cell_length_c 5.017
_cell_angle_alpha 90.00
_cell_angle_beta 90.00
_cell_angle_gamma 90.00
loop_
_atom_site_label
_atom_site_fract_x
_atom_site_fract_y
_atom_site_fract_z
_atom_site_occupancy
Tc1 0.000 0.500 0.000 1
Tc2 0.000 0.000 0.500 1
Cr1 0.500 0.500 0.500 1
K1 0.500 0.000 0.000 1
```

Computed properties:
The total energy is -6.743 eV/atom. The symmetry is P4/mmm (123). For the magnetization, the calculation gives 0.47 μB per formula unit. The density of states at the Fermi level is 5.898 states/eV/cell.

=====

Entry 4:
A relaxed structure of La2Rh2Se. Source: Alexandria via LeMat-Bulk, functional GGA-PBEsol.

```
data_La2Rh2Se
_chemical_formula_sum 'La2 Rh2 Se1'
_space_group_name_H-M_alt 'P 1'
_space_group_IT_number 1
_space_group_name_Hall 'P 1'
_cell_length_a 3.868
_cell_length_b 3.868
_cell_length_c 8.128
_cell_angle_alpha 103.76
_cell_angle_beta 103.76
_cell_angle_gamma 90.00
loop_
_atom_site_label
_atom_site_fract_x
_atom_site_fract_y
_atom_site_fract_z
_atom_site_occupancy
Rh1 0.750 0.250 0.500 1
Rh2 0.250 0.750 0.500 1
La1 0.383 0.383 0.765 1
La2 0.617 0.617 0.235 1
Se1 0.000 0.000 0.000 1
```

Computed properties:
As for the uncorrected formation energy: -0.936 eV per atom. The symmetry is I4/mmm (139). For the magnetization, the calculation gives 0.00 μB per formula unit. The density of states at the Fermi level is 2.123 states/eV/cell.

=====

Entry 5:
A relaxed structure of TcHg2Rh. Source: Alexandria via LeMat-Bulk, functional GGA-PBEsol.

```
data_TcHg2Rh
_chemical_formula_sum 'Tc1 Hg2 Rh1'
_space_group_name_H-M_alt 'P 1'
_space_group_IT_number 1
_space_group_name_Hall 'P 1'
_cell_length_a 2.883
_cell_length_b 4.772
_cell_length_c 4.910
_cell_angle_alpha 90.00
_cell_angle_beta 90.00
_cell_angle_gamma 90.00
loop_
_atom_site_label
_atom_site_fract_x
_atom_site_fract_y
_atom_site_fract_z
_atom_site_occupancy
Hg1 0.500 0.000 0.500 1
Hg2 0.000 0.000 0.000 1
Tc1 0.000 0.500 0.500 1
Rh1 0.500 0.500 0.000 1
```

Computed properties:
The total energy is -4.607 eV/atom. The symmetry is Pmmm (47). For the magnetization, the calculation gives 1.17 μB per formula unit. The density of states at the Fermi level is 2.824 states/eV/cell.

=====

Entry 6:
A relaxed structure of SbRhSeI2. Source: Alexandria via LeMat-Bulk, functional GGA-PBEsol.

```
data_SbRhSeI2
_chemical_formula_sum 'Sb1 Rh1 Se1 I2'
_space_group_name_H-M_alt 'P 1'
_space_group_IT_number 1
_space_group_name_Hall 'P 1'
_cell_length_a 5.034
_cell_length_b 5.254
_cell_length_c 5.254
_cell_angle_alpha 90.00
_cell_angle_beta 90.00
_cell_angle_gamma 90.00
loop_
_atom_site_label
_atom_site_fract_x
_atom_site_fract_y
_atom_site_fract_z
_atom_site_occupancy
I1 0.000 0.500 0.000 1
I2 0.000 0.000 0.500 1
Se1 0.500 0.500 0.500 1
Sb1 0.500 0.000 0.000 1
Rh1 0.000 0.000 0.000 1
```

Computed properties:
As for the uncorrected formation energy: 0.385 eV per atom. The symmetry is P4/mmm (123). For the magnetization, the calculation gives 0.00 μB per formula unit. The density of states at the Fermi level is 4.462 states/eV/cell.

=====

Entry 7:
A relaxed structure of BaSm4Si3SeO12. Source: Alexandria via LeMat-Bulk, functional GGA-PBEsol.

```
data_BaSm4Si3SeO12
_chemical_formula_sum 'Ba2 Sm8 Si6 Se2 O24'
_space_group_name_H-M_alt 'P 1'
_space_group_IT_number 1
_space_group_name_Hall 'P 1'
_cell_length_a 6.952
_cell_length_b 9.814
_cell_length_c 9.814
_cell_angle_alpha 120.00
_cell_angle_beta 90.00
_cell_angle_gamma 90.00
loop_
_atom_site_label
_atom_site_fract_x
_atom_site_fract_y
_atom_site_fract_z
_atom_site_occupancy
Sm1 0.254 0.004 0.251 1
Sm2 0.754 0.251 0.247 1
Sm3 0.754 0.753 0.004 1
Sm4 0.254 0.749 0.753 1
Sm5 0.754 0.996 0.749 1
Sm6 0.000 0.667 0.333 1
Sm7 0.254 0.247 0.996 1
Sm8 0.500 0.333 0.667 1
O1 0.064 0.641 0.894 1
O2 0.274 0.406 0.887 1
O3 0.721 0.162 0.477 1
O4 0.564 0.894 0.253 1
O5 0.774 0.519 0.406 1
O6 0.064 0.253 0.359 1
O7 0.564 0.359 0.106 1
O8 0.938 0.348 0.089 1
O9 0.221 0.838 0.523 1
O10 0.564 0.747 0.641 1
O11 0.938 0.911 0.259 1
O12 0.438 0.259 0.348 1
O13 0.774 0.594 0.113 1
O14 0.221 0.685 0.162 1
O15 0.438 0.089 0.741 1
O16 0.938 0.741 0.652 1
O17 0.274 0.481 0.594 1
O18 0.721 0.523 0.685 1
O19 0.438 0.652 0.911 1
O20 0.221 0.477 0.315 1
O21 0.274 0.113 0.519 1
O22 0.774 0.887 0.481 1
O23 0.721 0.315 0.838 1
O24 0.064 0.106 0.747 1
Si1 0.748 0.627 0.600 1
Si2 0.248 0.028 0.627 1
Si3 0.748 0.972 0.373 1
Si4 0.248 0.373 0.400 1
Si5 0.248 0.600 0.972 1
Si6 0.748 0.400 0.028 1
Se1 0.006 0.000 0.000 1
Se2 0.506 0.000 0.000 1
Ba1 0.498 0.667 0.333 1
Ba2 0.998 0.333 0.667 1
```

Computed properties:
As for the uncorrected formation energy: -3.118 eV per atom. The symmetry is P6_3 (173). For the magnetization, the calculation gives 0.00 μB per formula unit. The density of states at the Fermi level is 0.000 states/eV/cell.

=====

Entry 8:
A relaxed structure of Ga2FeIrBr. Source: Alexandria via LeMat-Bulk, functional GGA-PBEsol.

```
data_Ga2FeIrBr
_chemical_formula_sum 'Ga2 Fe1 Ir1 Br1'
_space_group_name_H-M_alt 'P 1'
_space_group_IT_number 1
_space_group_name_Hall 'P 1'
_cell_length_a 4.364
_cell_length_b 4.535
_cell_length_c 4.535
_cell_angle_alpha 90.00
_cell_angle_beta 90.00
_cell_angle_gamma 90.00
loop_
_atom_site_label
_atom_site_fract_x
_atom_site_fract_y
_atom_site_fract_z
_atom_site_occupancy
Ir1 0.500 0.500 0.500 1
Fe1 0.000 0.000 0.000 1
Br1 0.500 0.000 0.000 1
Ga1 0.000 0.500 0.000 1
Ga2 0.000 0.000 0.500 1
```

Computed properties:
As for the uncorrected formation energy: 1.028 eV per atom. The symmetry is P4/mmm (123). For the magnetization, the calculation gives 0.53 μB per formula unit. The density of states at the Fermi level is 5.851 states/eV/cell.

=====

Entry 9:
A relaxed structure of Al3CoPt. Source: Alexandria via LeMat-Bulk, functional GGA-PBEsol.

```
data_Al3CoPt
_chemical_formula_sum 'Al3 Co1 Pt1'
_space_group_name_H-M_alt 'P 1'
_space_group_IT_number 1
_space_group_name_Hall 'P 1'
_cell_length_a 4.652
_cell_length_b 4.652
_cell_length_c 4.652
_cell_angle_alpha 90.00
_cell_angle_beta 90.00
_cell_angle_gamma 90.00
loop_
_atom_site_label
_atom_site_fract_x
_atom_site_fract_y
_atom_site_fract_z
_atom_site_occupancy
Pt1 0.000 0.000 0.000 1
Al1 0.000 0.000 0.500 1
Al2 0.000 0.500 0.000 1
Al3 0.500 0.000 0.000 1
Co1 0.500 0.500 0.500 1
```

Computed properties:
The total energy is -4.996 eV/atom. The symmetry is Pm-3m (221). For the magnetization, the calculation gives 1.58 μB per formula unit. The density of states at the Fermi level is 7.644 states/eV/cell.

=====

Entry 10:
A relaxed structure of TaTcAu. Source: Alexandria via LeMat-Bulk, functional GGA-PBEsol.

```
data_TaTcAu
_chemical_formula_sum 'Ta1 Tc1 Au1'
_space_group_name_H-M_alt 'P 1'
_space_group_IT_number 1
_space_group_name_Hall 'P 1'
_cell_length_a 2.798
_cell_length_b 2.798
_cell_length_c 7.129
_cell_angle_alpha 90.00
_cell_angle_beta 90.00
_cell_angle_gamma 120.00
loop_
_atom_site_label
_atom_site_fract_x
_atom_site_fract_y
_atom_site_fract_z
_atom_site_occupancy
Tc1 0.667 0.333 0.333 1
Ta1 0.333 0.667 0.663 1
Au1 0.000 0.000 0.004 1
```

Computed properties:
The total energy is -9.037 eV/atom. The symmetry is P3m1 (156). For the magnetization, the calculation gives 0.00 μB per formula unit. The density of states at the Fermi level is 3.497 states/eV/cell.

=====

Entry 11:
A relaxed structure of Tl2InW. Source: Alexandria via LeMat-Bulk, functional GGA-PBEsol.

```
data_Tl2InW
_chemical_formula_sum 'Tl2 In1 W1'
_space_group_name_H-M_alt 'P 1'
_space_group_IT_number 1
_space_group_name_Hall 'P 1'
_cell_length_a 4.482
_cell_length_b 4.482
_cell_length_c 4.229
_cell_angle_alpha 90.00
_cell_angle_beta 90.00
_cell_angle_gamma 90.00
loop_
_atom_site_label
_atom_site_fract_x
_atom_site_fract_y
_atom_site_fract_z
_atom_site_occupancy
Tl1 0.500 0.000 0.000 1
Tl2 0.000 0.500 0.000 1
W1 0.500 0.500 0.500 1
In1 0.000 0.000 0.500 1
```

Computed properties:
The total energy is -4.530 eV/atom. The symmetry is P4/mmm (123). For the magnetization, the calculation gives 1.38 μB per formula unit. The density of states at the Fermi level is 3.214 states/eV/cell.

=====

Entry 12:
A relaxed structure of Sr2AlBr. Source: Alexandria via LeMat-Bulk, functional GGA-PBEsol.

```
data_Sr2AlBr
_chemical_formula_sum 'Sr4 Al2 Br2'
_space_group_name_H-M_alt 'P 1'
_space_group_IT_number 1
_space_group_name_Hall 'P 1'
_cell_length_a 7.258
_cell_length_b 7.258
_cell_length_c 7.258
_cell_angle_alpha 108.31
_cell_angle_beta 110.05
_cell_angle_gamma 110.05
loop_
_atom_site_label
_atom_site_fract_x
_atom_site_fract_y
_atom_site_fract_z
_atom_site_occupancy
Br1 0.000 0.000 0.000 1
Br2 0.500 0.750 0.250 1
Sr1 0.485 0.110 0.125 1
Sr2 0.515 0.640 0.625 1
Sr3 0.015 0.375 0.890 1
Sr4 0.985 0.875 0.360 1
Al1 0.500 0.250 0.750 1
Al2 0.000 0.500 0.500 1
```

Computed properties:
As for the uncorrected formation energy: -0.515 eV per atom. The symmetry is I-42d (122). For the magnetization, the calculation gives 0.00 μB per formula unit. The density of states at the Fermi level is 5.912 states/eV/cell.